# 1
A plane-wave DFT calculation with GGA-PBE was carried out for a relaxed structure of NbBRh.

Lattice parameters (Å, degrees): 8.3623 3.2402 5.8863 90.00 90.00 90.00
Last column: nearest neighbours and their distance in Å.
Atoms (fractional coordinates):
1 Nb 0.1100 0.2500 0.1174  3 B 2.32
2 Nb 0.3900 0.7500 0.6174  3 B 2.32
3 Nb 0.6100 0.2500 0.3826  3 B 2.32
4 Nb 0.8900 0.7500 0.8826  3 B 2.32
5 B 0.1649 0.7500 0.3885  3 Rh 2.17-2.31, 3 Nb 2.32
6 B 0.3351 0.2500 0.8885  3 Rh 2.17-2.31, 3 Nb 2.32
7 B 0.6649 0.7500 0.1115  3 Rh 2.17-2.31, 3 Nb 2.32
8 B 0.8351 0.2500 0.6115  3 Rh 2.17-2.31, 3 Nb 2.32
9 Rh 0.1116 0.2500 0.6207  3 B 2.17-2.31
10 Rh 0.3884 0.7500 0.1207  3 B 2.17-2.31
11 Rh 0.6116 0.2500 0.8793  3 B 2.17-2.31
12 Rh 0.8884 0.7500 0.3793  3 B 2.17-2.31

Computed properties:
* DOS(E_F): 10.1 states/eV per cell
* volume: 159 Å³/cell
* total energy: -24.8 eV/f.u.

# 2
A plane-wave DFT calculation with GGA-PBE was carried out for a relaxed structure of Nb2B2Rh.

Lattice parameters (Å, degrees): 5.8260 5.8260 3.5712 90.00 90.00 90.00
Last column: nearest neighbours and their distance in Å.
Atoms (fractional coordinates):
1 Nb 0.1750 0.3250 0.0000  6 B 2.48-2.50
2 Nb 0.3250 0.8250 0.0000  6 B 2.48-2.50
3 Nb 0.6750 0.1750 0.0000  6 B 2.48-2.50
4 Nb 0.8250 0.6750 0.0000  6 B 2.48-2.50
5 B 0.1133 0.6133 0.5000  1 B 1.87
6 B 0.3867 0.1133 0.5000  1 B 1.87
7 B 0.6133 0.8867 0.5000  1 B 1.87
8 B 0.8867 0.3867 0.5000  1 B 1.87
9 Rh 0.0000 0.0000 0.5000  4 B 2.35
10 Rh 0.5000 0.5000 0.5000  4 B 2.35

Computed properties:
* DOS(E_F): 6.5 states/eV per cell
* volume: 121 Å³/cell
* total energy: -43.9 eV/f.u.

# 3
A plane-wave DFT calculation with GGA-PBE was carried out for a relaxed structure of Nb3BRh.

Lattice parameters (Å, degrees): 4.3270 4.3270 4.3270 90.00 90.00 90.00
Last column: nearest neighbours and their distance in Å.
Atoms (fractional coordinates):
1 Nb 0.0000 0.0000 0.5000  2 B 2.16
2 Nb 0.0000 0.5000 0.0000  2 B 2.16
3 Nb 0.5000 0.0000 0.0000  2 B 2.16
4 B 0.0000 0.0000 0.0000  6 Nb 2.16
5 Rh 0.5000 0.5000 0.5000  12 Nb 3.06

Computed properties:
* DOS(E_F): 6.3 states/eV per cell
* volume: 81 Å³/cell
* total energy: -44.3 eV/f.u.
* relative energy among the computed polymorphs: 0 meV per atom

# 4
A plane-wave DFT calculation with GGA-PBE was carried out for a relaxed structure of Nb3B7Rh.

Lattice parameters (Å, degrees): 7.4841 7.4841 8.9387 90.00 90.00 154.86
Last column: nearest neighbours and their distance in Å.
Atoms (fractional coordinates):
1 Nb 0.1087 0.8913 0.5549  11 B 2.39-2.51
2 Nb 0.1087 0.8913 0.9451  11 B 2.39-2.51
3 Nb 0.2490 0.7510 0.2500  11 B 2.50-2.60
4 Nb 0.7510 0.2490 0.7500  11 B 2.50-2.60
5 Nb 0.8913 0.1087 0.0549  11 B 2.39-2.51
6 Nb 0.8913 0.1087 0.4451  11 B 2.39-2.51
7 B 0.2719 0.7281 0.5326  3 B 1.71-1.84
8 B 0.2719 0.7281 0.9674  3 B 1.71-1.84
9 B 0.3648 0.6352 0.6486  3 B 1.71-1.85
10 B 0.3648 0.6352 0.8514  3 B 1.71-1.85
11 B 0.4269 0.5731 0.2500  2 B 1.91
12 B 0.4863 0.5137 0.5907  2 B 1.67-1.85
13 B 0.4863 0.5137 0.9093  2 B 1.67-1.85
14 B 0.5137 0.4863 0.0907  2 B 1.67-1.85
15 B 0.5137 0.4863 0.4093  2 B 1.67-1.85
16 B 0.5731 0.4269 0.7500  2 B 1.91
17 B 0.6352 0.3648 0.1486  3 B 1.71-1.85
18 B 0.6352 0.3648 0.3514  3 B 1.71-1.85
19 B 0.7281 0.2719 0.0326  3 B 1.71-1.84
20 B 0.7281 0.2719 0.4674  3 B 1.71-1.84
21 Rh 0.0480 0.9520 0.2500  10 B 2.22-2.40
22 Rh 0.9520 0.0480 0.7500  10 B 2.22-2.40

Computed properties:
* DOS(E_F): 8.6 states/eV per cell
* volume: 213 Å³/cell
* total energy: -90.1 eV/f.u.

# 5
A plane-wave DFT calculation with GGA-PBE was carried out for a relaxed structure of Nb3BRh.

Lattice parameters (Å, degrees): 4.7662 4.7662 4.7662 90.00 90.00 90.00
Last column: nearest neighbours and their distance in Å.
Atoms (fractional coordinates):
1 Nb 0.0000 0.0000 0.5000  2 Rh 2.38
2 Nb 0.0000 0.5000 0.0000  2 Rh 2.38
3 Nb 0.5000 0.0000 0.0000  2 Rh 2.38
4 B 0.5000 0.5000 0.5000  12 Nb 3.37
5 Rh 0.0000 0.0000 0.0000  6 Nb 2.38

Computed properties:
* DOS(E_F): 8.7 states/eV per cell
* volume: 108 Å³/cell
* total energy: -35.3 eV/f.u.
* relative energy among the computed polymorphs: 1798 meV per atom

# 6
A plane-wave DFT calculation with GGA-PBE was carried out for a relaxed structure of Nb5B2Rh12.

Lattice parameters (Å, degrees): 7.6316 7.6316 7.1607 99.88 99.88 43.08
Last column: nearest neighbours and their distance in Å.
Atoms (fractional coordinates):
1 Nb 0.0000 0.0000 0.0000  6 Rh 2.54-2.56
2 Nb 0.2300 0.2300 0.7391  9 Rh 2.58-2.80, 2 Nb 2.86
3 Nb 0.3095 0.3095 0.2780  5 Rh 2.64-2.78, 2 Nb 2.86
4 Nb 0.6905 0.6905 0.7220  5 Rh 2.64-2.78, 2 Nb 2.86
5 Nb 0.7700 0.7700 0.2609  9 Rh 2.58-2.80, 2 Nb 2.86
6 B 0.3316 0.6684 0.5000  1 B 1.89
7 B 0.6684 0.3316 0.5000  1 B 1.89
8 Rh 0.0452 0.0452 0.6735  2 B 2.26
9 Rh 0.0921 0.6150 0.5881  1 B 2.34
10 Rh 0.0968 0.5979 0.9851  4 Nb 2.56-2.80, 5 Rh 2.80-2.86
11 Rh 0.3850 0.9079 0.4119  1 B 2.34
12 Rh 0.4021 0.9032 0.0149  4 Nb 2.56-2.80, 5 Rh 2.80-2.86
13 Rh 0.4974 0.4974 0.2156  2 B 2.24
14 Rh 0.5026 0.5026 0.7844  2 B 2.24
15 Rh 0.5979 0.0968 0.9851  4 Nb 2.56-2.80, 5 Rh 2.80-2.86
16 Rh 0.6150 0.0921 0.5881  1 B 2.34
17 Rh 0.9032 0.4021 0.0149  4 Nb 2.56-2.80, 5 Rh 2.80-2.86
18 Rh 0.9079 0.3850 0.4119  1 B 2.34
19 Rh 0.9548 0.9548 0.3265  2 B 2.26

Computed properties:
* DOS(E_F): 17.7 states/eV per cell
* volume: 280 Å³/cell
* total energy: -157.3 eV/f.u.

# 7
A plane-wave DFT calculation with GGA-PBE was carried out for a relaxed structure of Nb2BRh.

Lattice parameters (Å, degrees): 5.4514 5.4514 5.4514 103.40 103.40 122.44
Last column: nearest neighbours and their distance in Å.
Atoms (fractional coordinates):
1 Nb 0.0751 0.6250 0.9501  2 B 2.26
2 Nb 0.3750 0.3251 0.4501  2 B 2.26
3 Nb 0.6749 0.1250 0.0499  2 B 2.26
4 Nb 0.8750 0.9249 0.5499  2 B 2.26
5 B 0.0000 0.0000 0.0000  4 Nb 2.26
6 B 0.7500 0.2500 0.5000  4 Nb 2.26
7 Rh 0.2500 0.7500 0.5000  2 B 2.62, 8 Nb 2.72-2.93
8 Rh 0.5000 0.5000 0.0000  2 B 2.62, 8 Nb 2.72-2.93

Computed properties:
* DOS(E_F): 4.3 states/eV per cell
* volume: 120 Å³/cell
* total energy: -33.7 eV/f.u.

# 8
A plane-wave DFT calculation with GGA-PBE was carried out for a relaxed structure of NbSnBRh2.

Lattice parameters (Å, degrees): 4.7717 4.7717 5.1980 90.00 90.00 90.00
Last column: nearest neighbours and their distance in Å.
Atoms (fractional coordinates):
1 Nb 0.0000 0.0000 0.0000  2 Sn 2.60
2 Sn 0.0000 0.0000 0.5000  4 Rh 2.39, 2 Nb 2.60
3 B 0.5000 0.5000 0.0000  4 Nb 3.37, 8 Rh 3.53
4 Rh 0.0000 0.5000 0.5000  2 Sn 2.39
5 Rh 0.5000 0.0000 0.5000  2 Sn 2.39

Computed properties:
* DOS(E_F): 7.5 states/eV per cell
* volume: 118 Å³/cell
* total energy: -24.6 eV/f.u.

# 9
A plane-wave DFT calculation with GGA-PBE was carried out for a relaxed structure of NbTc2BRh.

Lattice parameters (Å, degrees): 4.1515 4.1515 4.0418 90.00 90.00 90.00
Last column: nearest neighbours and their distance in Å.
Atoms (fractional coordinates):
1 Nb 0.0000 0.0000 0.0000  8 Tc 2.90, 4 Rh 2.94
2 Tc 0.0000 0.5000 0.5000  2 B 2.08
3 Tc 0.5000 0.0000 0.5000  2 B 2.08
4 B 0.5000 0.5000 0.5000  2 Rh 2.02, 4 Tc 2.08
5 Rh 0.5000 0.5000 0.0000  2 B 2.02

Computed properties:
* DOS(E_F): 2.6 states/eV per cell
* volume: 70 Å³/cell
* total energy: -46.1 eV/f.u.

# 10
A plane-wave DFT calculation with GGA-PBE was carried out for a relaxed structure of NbTlB2Rh.

Lattice parameters (Å, degrees): 4.3171 4.3171 5.0266 90.00 90.00 90.00
Last column: nearest neighbours and their distance in Å.
Atoms (fractional coordinates):
1 Nb 0.0000 0.0000 0.0000  4 B 2.16
2 Tl 0.5000 0.5000 0.5000  4 Rh 3.05, 8 B 3.31
3 B 0.0000 0.5000 0.0000  2 Nb 2.16
4 B 0.5000 0.0000 0.0000  2 Nb 2.16
5 Rh 0.0000 0.0000 0.5000  2 Nb 2.51

Computed properties:
* DOS(E_F): 3.8 states/eV per cell
* volume: 94 Å³/cell
* total energy: -26.6 eV/f.u.

# 11
A plane-wave DFT calculation with GGA-PBE was carried out for a relaxed structure of NbBRh2W.

Lattice parameters (Å, degrees): 4.6763 4.6763 4.8686 90.00 90.00 90.00
Last column: nearest neighbours and their distance in Å.
Atoms (fractional coordinates):
1 Nb 0.0000 0.0000 0.0000  4 Rh 2.34, 2 W 2.43
2 B 0.5000 0.5000 0.5000  4 W 3.31, 8 Rh 3.38
3 Rh 0.0000 0.5000 0.0000  2 Nb 2.34
4 Rh 0.5000 0.0000 0.0000  2 Nb 2.34
5 W 0.0000 0.0000 0.5000  2 Nb 2.43

Computed properties:
* DOS(E_F): 8.2 states/eV per cell
* volume: 106 Å³/cell
* total energy: -32.2 eV/f.u.

# 12
A plane-wave DFT calculation with GGA-PBE was carried out for a relaxed structure of NbB2Ru2.

Lattice parameters (Å, degrees): 6.3791 6.3791 2.8135 90.00 90.00 90.00
Last column: nearest neighbours and their distance in Å.
Atoms (fractional coordinates):
1 Nb 0.0000 0.0000 0.0000  4 B 2.45
2 Nb 0.5000 0.5000 0.0000  4 B 2.45
3 B 0.1433 0.3567 0.0000  6 Ru 2.33-2.35, 2 Nb 2.45, 1 B 2.59
4 B 0.3567 0.8567 0.0000  6 Ru 2.33-2.35, 2 Nb 2.45, 1 B 2.59
5 B 0.6433 0.1433 0.0000  6 Ru 2.33-2.35, 2 Nb 2.45, 1 B 2.59
6 B 0.8567 0.6433 0.0000  6 Ru 2.33-2.35, 2 Nb 2.45, 1 B 2.59
7 Ru 0.1486 0.6486 0.5000  6 B 2.33-2.35
8 Ru 0.3514 0.1486 0.5000  6 B 2.33-2.35
9 Ru 0.6486 0.8514 0.5000  6 B 2.33-2.35
10 Ru 0.8514 0.3514 0.5000  6 B 2.33-2.35

Computed properties:
* DOS(E_F): 6.4 states/eV per cell
* volume: 114 Å³/cell
* total energy: -43.0 eV/f.u.

# 13
A plane-wave DFT calculation with GGA-PBE was carried out for a relaxed structure of NbBRu3.

Lattice parameters (Å, degrees): 7.5911 7.5911 7.5911 143.11 143.11 53.16
Last column: nearest neighbours and their distance in Å.
Atoms (fractional coordinates):
1 Nb 0.1934 0.1934 0.0000  2 B 2.52
2 Nb 0.8066 0.8066 0.0000  2 B 2.52
3 B 0.2500 0.7500 0.5000  4 Ru 2.13
4 B 0.5000 0.5000 0.0000  4 Ru 2.03
5 Ru 0.3613 0.6189 0.7424  2 B 2.03-2.13
6 Ru 0.3811 0.1234 0.7424  2 B 2.03-2.13
7 Ru 0.3811 0.6387 0.2576  2 B 2.03-2.13
8 Ru 0.5748 0.0748 0.5000  2 B 2.61, 6 Ru 2.77-2.88, 2 Nb 2.89
9 Ru 0.8766 0.6189 0.2576  2 B 2.03-2.13
10 Ru 0.9252 0.4252 0.5000  2 B 2.61, 6 Ru 2.77-2.88, 2 Nb 2.89

Computed properties:
* DOS(E_F): 10.6 states/eV per cell
* volume: 157 Å³/cell
* total energy: -42.9 eV/f.u.

# 14
A plane-wave DFT calculation with GGA-PBE was carried out for a relaxed structure of Nb2B2Ru.

Lattice parameters (Å, degrees): 4.8503 4.8503 4.8503 141.61 118.91 74.50
Last column: nearest neighbours and their distance in Å.
Atoms (fractional coordinates):
1 Nb 0.2046 0.2046 0.0000  4 B 2.42
2 Nb 0.7954 0.7954 0.0000  4 B 2.42
3 B 0.1808 0.5000 0.6808  1 B 1.78
4 B 0.8192 0.5000 0.3192  1 B 1.78
5 Ru 0.5000 0.0000 0.5000  4 B 2.24

Computed properties:
* DOS(E_F): 3.6 states/eV per cell
* volume: 61 Å³/cell
* total energy: -45.7 eV/f.u.
* relative energy among the computed polymorphs: 25 meV per atom

# 15
A plane-wave DFT calculation with GGA-PBE was carried out for a relaxed structure of Nb3BRu.

Lattice parameters (Å, degrees): 4.3274 4.3274 4.3274 90.00 90.00 90.00
Last column: nearest neighbours and their distance in Å.
Atoms (fractional coordinates):
1 Nb 0.0000 0.0000 0.5000  2 B 2.16
2 Nb 0.0000 0.5000 0.0000  2 B 2.16
3 Nb 0.5000 0.0000 0.0000  2 B 2.16
4 B 0.0000 0.0000 0.0000  6 Nb 2.16
5 Ru 0.5000 0.5000 0.5000  12 Nb 3.06

Computed properties:
* DOS(E_F): 8.4 states/eV per cell
* volume: 81 Å³/cell
* total energy: -45.5 eV/f.u.
* relative energy among the computed polymorphs: 0 meV per atom

# 16
A plane-wave DFT calculation with GGA-PBE was carried out for a relaxed structure of Nb3B2Ru5.

Lattice parameters (Å, degrees): 9.4813 9.4813 3.0219 90.00 90.00 90.00
Last column: nearest neighbours and their distance in Å.
Atoms (fractional coordinates):
1 Nb 0.0000 0.0000 0.0000  8 Ru 2.65
2 Nb 0.1763 0.3237 0.0000  3 B 2.71-2.87, 10 Ru 2.81-2.96, 2 Nb 3.02
3 Nb 0.3237 0.8237 0.0000  3 B 2.71-2.87, 10 Ru 2.81-2.96, 2 Nb 3.02
4 Nb 0.5000 0.5000 0.0000  8 Ru 2.65
5 Nb 0.6763 0.1763 0.0000  3 B 2.71-2.87, 10 Ru 2.81-2.96, 2 Nb 3.02
6 Nb 0.8237 0.6763 0.0000  3 B 2.71-2.87, 10 Ru 2.81-2.96, 2 Nb 3.02
7 B 0.1213 0.6213 0.0000  6 Ru 2.19-2.22
8 B 0.3787 0.1213 0.0000  6 Ru 2.19-2.22
9 B 0.6213 0.8787 0.0000  6 Ru 2.19-2.22
10 B 0.8787 0.3787 0.0000  6 Ru 2.19-2.22
11 Ru 0.0000 0.5000 0.5000  4 B 2.22
12 Ru 0.0710 0.7810 0.5000  2 B 2.19
13 Ru 0.2190 0.0710 0.5000  2 B 2.19
14 Ru 0.2810 0.5710 0.5000  2 B 2.19
15 Ru 0.4290 0.2810 0.5000  2 B 2.19
16 Ru 0.5000 0.0000 0.5000  4 B 2.22
17 Ru 0.5710 0.7190 0.5000  2 B 2.19
18 Ru 0.7190 0.4290 0.5000  2 B 2.19
19 Ru 0.7810 0.9290 0.5000  2 B 2.19
20 Ru 0.9290 0.2190 0.5000  2 B 2.19

Computed properties:
* DOS(E_F): 6.7 states/eV per cell
* volume: 272 Å³/cell
* total energy: -94.5 eV/f.u.

# 17
A plane-wave DFT calculation with GGA-PBE was carried out for a relaxed structure of Nb3BRu.

Lattice parameters (Å, degrees): 4.7525 4.7525 4.7525 90.00 90.00 90.00
Last column: nearest neighbours and their distance in Å.
Atoms (fractional coordinates):
1 Nb 0.0000 0.0000 0.5000  2 Ru 2.38
2 Nb 0.0000 0.5000 0.0000  2 Ru 2.38
3 Nb 0.5000 0.0000 0.0000  2 Ru 2.38
4 B 0.5000 0.5000 0.5000  12 Nb 3.36
5 Ru 0.0000 0.0000 0.0000  6 Nb 2.38

Computed properties:
* DOS(E_F): 3.8 states/eV per cell
* volume: 107 Å³/cell
* total energy: -37.4 eV/f.u.
* relative energy among the computed polymorphs: 1616 meV per atom

# 18
A plane-wave DFT calculation with GGA-PBE was carried out for a relaxed structure of NbB3Ru.

Lattice parameters (Å, degrees): 9.4117 9.4117 3.0703 90.00 90.00 159.37
Last column: nearest neighbours and their distance in Å.
Atoms (fractional coordinates):
1 Nb 0.0732 0.9268 0.7500  12 B 2.45-2.57
2 Nb 0.9268 0.0732 0.2500  12 B 2.45-2.57
3 B 0.3219 0.6781 0.2500  2 B 1.83
4 B 0.3752 0.6248 0.7500  3 B 1.83-1.85
5 B 0.4752 0.5248 0.7500  3 B 1.79-1.85
6 B 0.5248 0.4752 0.2500  3 B 1.79-1.85
7 B 0.6248 0.3752 0.2500  3 B 1.83-1.85
8 B 0.6781 0.3219 0.7500  2 B 1.83
9 Ru 0.2010 0.7990 0.2500  7 B 2.20-2.32
10 Ru 0.7990 0.2010 0.7500  7 B 2.20-2.32

Computed properties:
* DOS(E_F): 3.8 states/eV per cell
* volume: 96 Å³/cell
* total energy: -42.2 eV/f.u.
* relative energy among the computed polymorphs: 0 meV per atom

# 19
A plane-wave DFT calculation with GGA-PBE was carried out for a relaxed structure of NbB3Ru.

Lattice parameters (Å, degrees): 3.9470 3.9470 3.9470 90.00 90.00 90.00
Last column: nearest neighbours and their distance in Å.
Atoms (fractional coordinates):
1 Nb 0.0000 0.0000 0.0000  12 B 2.79
2 B 0.0000 0.5000 0.5000  2 Ru 1.97
3 B 0.5000 0.0000 0.5000  2 Ru 1.97
4 B 0.5000 0.5000 0.0000  2 Ru 1.97
5 Ru 0.5000 0.5000 0.5000  6 B 1.97

Computed properties:
* DOS(E_F): 5.9 states/eV per cell
* volume: 61 Å³/cell
* total energy: -34.8 eV/f.u.
* relative energy among the computed polymorphs: 1479 meV per atom

# 20
A plane-wave DFT calculation with GGA-PBE was carried out for a relaxed structure of Nb2B2Ru.

Lattice parameters (Å, degrees): 5.8938 5.8938 3.4768 90.00 90.00 90.00
Last column: nearest neighbours and their distance in Å.
Atoms (fractional coordinates):
1 Nb 0.1767 0.3233 0.0000  6 B 2.47
2 Nb 0.3233 0.8233 0.0000  6 B 2.47
3 Nb 0.6767 0.1767 0.0000  6 B 2.47
4 Nb 0.8233 0.6767 0.0000  6 B 2.47
5 B 0.1131 0.6131 0.5000  1 B 1.88
6 B 0.3869 0.1131 0.5000  1 B 1.88
7 B 0.6131 0.8869 0.5000  1 B 1.88
8 B 0.8869 0.3869 0.5000  1 B 1.88
9 Ru 0.0000 0.0000 0.5000  4 B 2.38
10 Ru 0.5000 0.5000 0.5000  4 B 2.38

Computed properties:
* DOS(E_F): 5.1 states/eV per cell
* volume: 121 Å³/cell
* total energy: -45.8 eV/f.u.
* relative energy among the computed polymorphs: 0 meV per atom